# 1
Sr2SeS | the Alexandria database | PBE-GGA | optimized geometry; electronic total energy = -4.85 eV/atom; E_form (uncorrected) = -2.106 eV/atom; SG = R-3m
1.0
-4.2279 6.2765 0.3780
-4.1449 4.5689 4.3997
-0.7636 6.9333 2.9596
Sr Se S
2 1 1
Cartesian
-6.8784 13.3850 5.8252 Sr
-2.2579 4.3937 1.9122 Sr
0.0000 0.0000 0.0000 Se
-4.5682 8.8894 3.8687 S


# 2
KMg2ZnF8 | the Alexandria database | PBE-GGA | optimized geometry; electronic total energy = -4.44 eV/atom; E_form (uncorrected) = -2.733 eV/atom; SG = P2/m
1.0
4.9657 0.0966 -0.0027
0.1470 4.9393 -0.0047
0.0059 0.0086 6.7229
F Mg Zn K
8 2 1 1
Cartesian
1.5827 1.5336 -0.0018 F
1.1481 3.9059 1.3587 F
3.9705 1.1386 5.3567 F
3.5359 3.5109 6.7173 F
3.9658 1.1323 1.3598 F
1.8050 1.7317 3.3597 F
3.3137 3.3128 3.3558 F
1.1528 3.9122 5.3557 F
2.5576 2.5198 1.5142 Mg
2.5610 2.5247 5.2013 Mg
0.0000 0.0000 0.0000 Zn
0.0030 0.0043 3.3614 K


# 3
KMn2Pt | the Alexandria database | PBE-GGA | optimized geometry; electronic total energy = -5.78 eV/atom; SG = Imm2; E_form = 0.59 eV/atom
1.0
-0.9115 5.9473 0.5949
-4.9436 2.6585 -2.2468
2.7624 -3.8537 3.7514
Mn Pt K
2 1 1
Cartesian
-5.6738 8.3392 -1.6007 Mn
-0.4460 3.0624 1.7862 Mn
-3.1205 4.5864 -0.8804 Pt
-2.6352 1.6726 0.3165 K


# 4
GdZnCuAg | the Alexandria database | PBE-GGA | optimized geometry; electronic total energy = -5.75 eV/atom; SG = F-43m; E_form = -0.17 eV/atom
1.0
-2.3230 -0.5350 -4.0995
-0.3473 -4.2923 -1.9859
-4.1772 -2.2432 -0.0830
Zn Gd Cu Ag
1 1 1 1
Cartesian
-1.7119 -1.7676 -1.5421 Zn
-3.4237 -3.5352 -3.0842 Gd
-5.1356 -5.3029 -4.6262 Cu
0.0000 0.0000 0.0000 Ag